DFT (PBE) results for a relaxed structure of Th4Co10Si.

Cell: 9.0434 9.0434 9.0434 Å, 121.74 121.74 87.00°
Last column: nearest neighbours and their distance in Å.
Fractional coordinates of all 30 atoms:
Th: 0.5014 0.7955 0.2941  4 Co 2.58-2.61
Th: 0.7927 0.4986 0.2941  4 Co 2.58-2.61
Co: 0.1654 0.0618 0.3712  4 Co 2.29-2.47
Co: 0.0593 0.4558 0.8712  4 Co 2.29-2.47
Co: 0.8118 0.9407 0.3965  4 Co 2.29-2.47
Th: 0.2486 0.4545 0.2059  4 Co 2.58-2.61
Th: 0.5455 0.7514 0.7941  4 Co 2.58-2.61
Th: 0.2486 0.0427 0.7941  4 Co 2.58-2.61
Co: 0.5442 0.4154 0.6035  4 Co 2.29-2.47
Co: 0.6907 0.0618 0.8965  4 Co 2.29-2.47
Th: 0.2045 0.4986 0.7059  4 Co 2.58-2.61
Co: 0.5846 0.4558 0.3965  4 Co 2.29-2.47
Co: 0.8750 0.6250 0.7500  4 Co 2.43
Co: 0.0593 0.1882 0.6035  4 Co 2.29-2.47
Co: 0.5846 0.1882 0.1288  4 Co 2.29-2.47
Co: 0.2058 0.8346 0.8965  4 Co 2.29-2.47
Si: 0.7500 0.2500 0.5000  12 Co 2.58-2.74
Si: 0.0000 0.0000 0.0000  12 Co 2.58-2.74
Co: 0.9382 0.8346 0.6288  4 Co 2.29-2.47
Co: 0.9382 0.3093 0.1035  4 Co 2.29-2.47
Th: 0.9573 0.7514 0.2059  4 Co 2.58-2.61
Co: 0.8750 0.1250 0.7500  4 Co 2.43
Co: 0.5442 0.9407 0.1288  4 Co 2.29-2.47
Co: 0.8118 0.4154 0.8712  4 Co 2.29-2.47
Co: 0.6907 0.7942 0.6288  4 Co 2.29-2.47
Co: 0.2058 0.3093 0.3712  4 Co 2.29-2.47
Th: 0.5014 0.2073 0.7059  4 Co 2.58-2.61
Co: 0.3750 0.1250 0.2500  4 Co 2.43
Co: 0.1654 0.7942 0.1035  4 Co 2.29-2.47
Co: 0.8750 0.1250 0.2500  4 Co 2.43

total moment: 12.59 μB per cell
space-group type: I4_1/amd, No. 141
energy relative to the elements, uncorrected: 0.056 eV per atom



DFT (PBE) results for a relaxed structure of Th2CoSi3.

Cell: 4.1426 4.1022 6.9819 Å, 90.00 90.00 90.00°
Last column: nearest neighbours and their distance in Å.
Fractional coordinates of all 6 atoms:
Th: 0.0000 0.5000 0.0087  2 Co 3.05, 10 Si 3.15-3.24
Co: 0.5000 0.5000 0.3295  3 Si 2.25-2.30
Th: 0.0000 0.0000 0.4953  8 Si 3.03-3.15, 4 Co 3.14
Si: 0.5000 0.5000 0.6523  1 Co 2.25, 2 Si 2.42
Si: 0.5000 0.0000 0.8351  3 Si 2.40-2.42
Si: 0.5000 0.0000 0.1791  2 Co 2.30, 1 Si 2.40

energy above the most stable polymorph in this dataset: 45 meV per atom
total moment: 0.00 μB per cell
space-group type: Pmm2, No. 25
energy relative to the elements, uncorrected: -0.773 eV per atom



DFT (PBE) results for a relaxed structure of ThCoSi2.

Cell: 3.9297 3.9297 5.6793 Å, 69.76 69.76 60.00°
Last column: nearest neighbours and their distance in Å.
Fractional coordinates of all 4 atoms:
Si: 0.7944 0.7944 0.6170  3 Co 2.35, 3 Si 2.57
Th: 0.0000 0.0000 0.0000  8 Si 3.02-3.21
Co: 0.5000 0.5000 0.5000  6 Si 2.35
Si: 0.2056 0.2056 0.3830  3 Co 2.35, 3 Si 2.57

total moment: 0.00 μB per cell
space-group type: R-3m, No. 166
energy relative to the elements, uncorrected: -0.776 eV per atom



DFT (PBE) results for a relaxed structure of Th2Co5Si.

Cell: 5.6853 5.6853 5.6853 Å, 88.97 120.60 120.60°
Last column: nearest neighbours and their distance in Å.
Fractional coordinates of all 8 atoms:
Si: 0.0000 0.9747 0.9747  5 Co 2.23-2.33
Co: 0.0000 0.2761 0.7194  1 Si 2.23
Th: 0.5000 0.7471 0.2471  10 Co 2.82-2.86
Co: 0.5567 0.2761 0.2761  1 Si 2.23
Co: 0.0000 0.2622 0.2622  1 Si 2.33, 4 Co 2.60
Th: 0.5000 0.2471 0.7471  10 Co 2.82-2.86
Co: 0.0000 0.7194 0.2761  1 Si 2.23
Co: 0.4433 0.7194 0.7194  1 Si 2.23

total moment: 0.00 μB per cell
space-group type: I4mm, No. 107
energy relative to the elements, uncorrected: -0.303 eV per atom



DFT (PBE) results for a relaxed structure of ThCoSi2.

Cell: 4.0828 4.1153 8.4989 Å, 104.01 90.00 90.00°
Last column: nearest neighbours and their distance in Å.
Fractional coordinates of all 8 atoms:
Co: 0.2500 0.6792 0.3586  5 Si 2.28-2.36
Si: 0.2500 0.5411 0.0819  1 Co 2.28, 2 Si 2.45
Co: 0.7500 0.3208 0.6414  5 Si 2.28-2.36
Si: 0.2500 0.2495 0.4995  4 Co 2.35-2.36
Th: 0.2500 0.8915 0.7838  10 Si 3.10-3.21, 4 Co 3.13
Th: 0.7500 0.1085 0.2162  10 Si 3.10-3.21, 4 Co 3.13
Si: 0.7500 0.4589 0.9181  1 Co 2.28, 2 Si 2.45
Si: 0.7500 0.7505 0.5005  4 Co 2.35-2.36

total moment: 0.00 μB per cell
space-group type: Cmcm, No. 63
energy relative to the elements, uncorrected: -0.831 eV per atom



DFT (PBE) results for a relaxed structure of ThCo2Si.

Cell: 3.9462 3.9453 5.3599 Å, 68.41 68.40 59.99°
Last column: nearest neighbours and their distance in Å.
Fractional coordinates of all 4 atoms:
Si: 0.0000 0.5000 0.5000  6 Co 2.35
Co: 0.2947 0.7946 0.6161  3 Si 2.35, 3 Co 2.54
Th: 0.5000 0.0000 0.0000  8 Co 2.94-2.99
Co: 0.7053 0.2054 0.3839  3 Si 2.35, 3 Co 2.54

total moment: 0.00 μB per cell
space-group type: R-3m, No. 166
energy relative to the elements, uncorrected: -0.603 eV per atom



DFT (PBE) results for a relaxed structure of Th2CoSi3.

Cell: 7.5719 7.5719 7.5719 Å, 148.66 148.18 45.27°
Last column: nearest neighbours and their distance in Å.
Fractional coordinates of all 6 atoms:
Si: 0.4110 0.4110 0.0000  2 Co 2.32, 1 Si 2.40
Th: 0.2498 0.7498 0.5000  8 Si 3.04-3.12, 4 Co 3.16
Si: 0.6743 0.1743 0.5000  1 Co 2.26, 2 Si 2.41
Co: 0.8363 0.3363 0.5000  3 Si 2.26-2.32
Si: 0.5827 0.5827 0.0000  3 Si 2.40-2.41
Th: 0.9959 0.9959 0.0000  2 Co 3.03, 10 Si 3.15-3.24

energy above the most stable polymorph in this dataset: 38 meV per atom
total moment: 0.00 μB per cell
space-group type: Imm2, No. 44
energy relative to the elements, uncorrected: -0.781 eV per atom



DFT (PBE) results for a relaxed structure of Th2Co2Si3.

Cell: 4.2136 6.6889 9.1341 Å, 90.00 103.34 90.00°
Last column: nearest neighbours and their distance in Å.
Fractional coordinates of all 14 atoms:
Co: 0.3066 0.0506 0.6132  4 Si 2.43-2.54, 1 Co 2.67
Si: 0.2197 0.7500 0.4395  6 Co 2.54
Co: 0.6934 0.5506 0.3868  4 Si 2.43-2.54, 1 Co 2.67
Si: 0.5639 0.0661 0.1278  1 Co 2.43, 2 Si 2.44-2.46
Th: 0.9475 0.2500 0.8950  9 Si 2.97-3.20
Co: 0.6934 0.9494 0.3868  4 Si 2.43-2.54, 1 Co 2.67
Si: 0.4361 0.5661 0.8722  1 Co 2.43, 2 Si 2.44-2.46
Si: 0.4361 0.9339 0.8722  1 Co 2.43, 2 Si 2.44-2.46
Si: 0.7803 0.2500 0.5605  6 Co 2.54
Co: 0.3066 0.4494 0.6132  4 Si 2.43-2.54, 1 Co 2.67
Th: 0.8373 0.7500 0.6746  6 Co 2.89-2.96, 6 Si 2.97-3.01
Th: 0.1627 0.2500 0.3254  6 Co 2.89-2.96, 6 Si 2.97-3.01
Si: 0.5639 0.4339 0.1278  1 Co 2.43, 2 Si 2.44-2.46
Th: 0.0525 0.7500 0.1050  9 Si 2.97-3.20

energy above the most stable polymorph in this dataset: 0 meV per atom
total moment: 0.00 μB per cell
space-group type: Cmcm, No. 63
energy relative to the elements, uncorrected: -0.662 eV per atom